VASP calculation (GGA-PBE) on a relaxed structure of PuPaPt2.

Energy of formation, meV per atom: -117
Distance to the lowest polymorph of the same formula, kJ/mol of atoms: 78.8

Unit cell a=3.0193 b=3.0193 c=31.5048 alpha=90.00 beta=90.00 gamma=120.00
Last column: nearest neighbours and their distance in Å.
Space group R-3m (No. 166, hexagonal axes)
Asymmetric unit:
Pu 0.0000 0.0000 0.0000 (multiplicity 3)  2 Pt 2.74, 6 Pu 3.02
Pa 0.0000 0.0000 0.5000 (multiplicity 3)  6 Pa 3.02, 6 Pt 3.06
Pt 0.0000 0.0000 0.0868 (multiplicity 6)  1 Pu 2.74, 6 Pt 3.02, 3 Pa 3.06